The following is a PBE calculation of an optimized crystal structure of Au12Se3I5, from Alexandria.

The uncorrected formation energy comes out at 0.212 eV/atom. The value obtained for the size of the total moment is 0.000 μB per cell.

Cell and atoms, written as CIF:
```
data_Au12Se3I5
_chemical_formula_sum 'Au96 Se24 I40'
_cell_length_a 16.574
_cell_length_b 16.574
_cell_length_c 16.574
_cell_angle_alpha 90.00
_cell_angle_beta 90.00
_cell_angle_gamma 90.00
_symmetry_space_group_name_H-M 'I a -3 d'
_symmetry_Int_Tables_number 230
_symmetry_space_group_name_Hall '-I 4bd 2c 3'
loop_
_atom_site_label
_atom_site_fract_x
_atom_site_fract_y
_atom_site_fract_z
Au1 0.031 0.105 0.664
Se1 0.000 0.250 0.125
I1 0.000 0.000 0.000
I2 0.000 0.250 0.375
```

---

The following is a PBE calculation of an optimized crystal structure of Al2O3, from Alexandria.

The uncorrected formation energy comes out at -2.932 eV/atom. The value obtained for the size of the total moment is 0.000 μB per cell.

Cell and atoms, written as CIF:
```
data_Al2O3
_chemical_formula_sum 'Al4 O6'
_cell_length_a 4.704
_cell_length_b 9.707
_cell_length_c 3.024
_cell_angle_alpha 90.00
_cell_angle_beta 90.00
_cell_angle_gamma 90.00
_symmetry_space_group_name_H-M 'P n n m'
_symmetry_Int_Tables_number 58
_symmetry_space_group_name_Hall '-P 2 2n'
loop_
_atom_site_label
_atom_site_fract_x
_atom_site_fract_y
_atom_site_fract_z
Al1 0.071 0.170 0.000
O1 0.000 0.000 0.000
O2 0.249 0.226 0.500
```

---

The following is a PBE calculation of an optimized crystal structure of Tb5Ho12Th2, from Alexandria.

The calculation puts the formation energy at 149 meV/atom. The value obtained for the size of the total moment is 0.000 μB per cell.

Cell and atoms, written as CIF:
```
data_Tb5Ho12Th2
_chemical_formula_sum 'Tb10 Ho24 Th4'
_cell_length_a 15.502
_cell_length_b 9.346
_cell_length_c 8.536
_cell_angle_alpha 90.00
_cell_angle_beta 92.08
_cell_angle_gamma 90.00
_symmetry_space_group_name_H-M 'C 1 2/m 1'
_symmetry_Int_Tables_number 12
_symmetry_space_group_name_Hall '-C 2y'
loop_
_atom_site_label
_atom_site_fract_x
_atom_site_fract_y
_atom_site_fract_z
Tb1 0.000 0.000 0.000
Tb2 0.200 0.500 0.520
Tb3 0.232 0.000 0.073
Ho1 0.058 0.500 0.829
Ho2 0.079 0.000 0.378
Ho3 0.129 0.309 0.164
Ho4 0.150 0.178 0.742
Th1 0.000 0.325 0.500
```

---

The following is a PBE calculation of an optimized crystal structure of Y2SiPd, from Alexandria.

The uncorrected formation energy comes out at -0.066 eV/atom. The value obtained for the size of the total moment is 0.000 μB per cell.

Cell and atoms, written as CIF:
```
data_Y2SiPd
_chemical_formula_sum 'Y6 Si3 Pd3'
_cell_length_a 3.5163
_cell_length_b 3.5163
_cell_length_c 27.8814
_cell_angle_alpha 90.00
_cell_angle_beta 90.00
_cell_angle_gamma 120.00
_symmetry_space_group_name_H-M 'R -3 m'
_symmetry_Int_Tables_number 166
_symmetry_space_group_name_Hall '-R 3 2"'
loop_
_atom_site_label
_atom_site_fract_x
_atom_site_fract_y
_atom_site_fract_z
Y1 0.0000 0.0000 0.0947
Si1 0.0000 0.0000 0.5000
Pd1 0.0000 0.0000 0.0000
```

---

The following is a PBE calculation of an optimized crystal structure of SrMg6Zr, from Alexandria.

The calculation puts the formation energy at 58 meV/atom. The value obtained for the size of the total moment is 0.000 μB per cell.

Cell and atoms, written as CIF:
```
data_SrMg6Zr
_chemical_formula_sum 'Sr1 Mg6 Zr1'
_cell_length_a 6.6773
_cell_length_b 6.6773
_cell_length_c 5.1879
_cell_angle_alpha 90.00
_cell_angle_beta 90.00
_cell_angle_gamma 120.00
_symmetry_space_group_name_H-M 'P -6 m 2'
_symmetry_Int_Tables_number 187
_symmetry_space_group_name_Hall 'P -6 2'
loop_
_atom_site_label
_atom_site_fract_x
_atom_site_fract_y
_atom_site_fract_z
Sr1 0.0000 0.0000 0.0000
Mg1 0.1763 0.3526 0.5000
Mg2 0.5059 0.0118 0.0000
Zr1 0.6667 0.3333 0.5000
```

---

The following is a PBE calculation of an optimized crystal structure of GaHS2, from Alexandria.

The total energy is -2.973 eV per atom. The value obtained for the size of the total moment is 0.000 μB per cell.

Cell and atoms, written as CIF:
```
data_GaHS2
_chemical_formula_sum 'Ga3 H3 S6'
_cell_length_a 2.7840
_cell_length_b 2.7840
_cell_length_c 23.7996
_cell_angle_alpha 90.00
_cell_angle_beta 90.00
_cell_angle_gamma 120.00
_symmetry_space_group_name_H-M 'R -3 m'
_symmetry_Int_Tables_number 166
_symmetry_space_group_name_Hall '-R 3 2"'
loop_
_atom_site_label
_atom_site_fract_x
_atom_site_fract_y
_atom_site_fract_z
Ga1 0.0000 0.0000 0.0000
H1 0.0000 0.0000 0.5000
S1 0.0000 0.0000 0.1076
```

---

The following is a PBE calculation of an optimized crystal structure of Mn2NiP, from Alexandria.

The calculation puts the formation energy at -107 meV/atom. The value obtained for the size of the total moment is 5.274 μB per cell.

Cell and atoms, written as CIF:
```
data_Mn2NiP
_chemical_formula_sum 'Mn2 Ni1 P1'
_cell_length_a 2.644
_cell_length_b 3.494
_cell_length_c 4.991
_cell_angle_alpha 90.00
_cell_angle_beta 90.00
_cell_angle_gamma 90.00
_symmetry_space_group_name_H-M 'P m m m'
_symmetry_Int_Tables_number 47
_symmetry_space_group_name_Hall '-P 2 2'
loop_
_atom_site_label
_atom_site_fract_x
_atom_site_fract_y
_atom_site_fract_z
Mn1 0.000 0.000 0.246
Ni1 0.500 0.500 0.500
P1 0.500 0.500 0.000
```

---

The following is a PBE calculation of an optimized crystal structure of TiCuNiAg, from Alexandria.

The calculation puts the formation energy at -33 meV/atom. The value obtained for the size of the total moment is 0.001 μB per cell.

Cell and atoms, written as CIF:
```
data_TiCuNiAg
_chemical_formula_sum 'Ti4 Cu4 Ni4 Ag4'
_cell_length_a 6.091
_cell_length_b 6.091
_cell_length_c 6.091
_cell_angle_alpha 90.00
_cell_angle_beta 90.00
_cell_angle_gamma 90.00
_symmetry_space_group_name_H-M 'F -4 3 m'
_symmetry_Int_Tables_number 216
_symmetry_space_group_name_Hall 'F -4 2 3'
loop_
_atom_site_label
_atom_site_fract_x
_atom_site_fract_y
_atom_site_fract_z
Ti1 0.000 0.000 0.000
Cu1 0.250 0.250 0.250
Ni1 0.250 0.250 0.750
Ag1 0.000 0.000 0.500
```

---

The following is a PBE calculation of an optimized crystal structure of K3Sm3CrSe8, from Alexandria.

The uncorrected formation energy comes out at -1.410 eV/atom. The value obtained for the size of the total moment is 4.487 μB per cell.

Cell and atoms, written as CIF:
```
data_K3Sm3CrSe8
_chemical_formula_sum 'K6 Sm6 Cr2 Se16'
_cell_length_a 14.311
_cell_length_b 8.255
_cell_length_c 9.251
_cell_angle_alpha 90.00
_cell_angle_beta 121.06
_cell_angle_gamma 90.00
_symmetry_space_group_name_H-M 'C 1 2/m 1'
_symmetry_Int_Tables_number 12
_symmetry_space_group_name_Hall '-C 2y'
loop_
_atom_site_label
_atom_site_fract_x
_atom_site_fract_y
_atom_site_fract_z
K1 0.000 0.000 0.000
K2 0.250 0.250 0.000
Sm1 0.000 0.500 0.500
Sm2 0.250 0.250 0.500
Cr1 0.000 0.000 0.500
Se1 0.011 0.224 0.309
Se2 0.214 0.000 0.691
Se3 0.237 0.500 0.712
```

---

The following is a PBE calculation of an optimized crystal structure of Sr2AlSi, from Alexandria.

The uncorrected formation energy comes out at 0.259 eV/atom. The value obtained for the size of the total moment is 0.000 μB per cell.

Cell and atoms, written as CIF:
```
data_Sr2AlSi
_chemical_formula_sum 'Sr8 Al4 Si4'
_cell_length_a 7.736
_cell_length_b 7.736
_cell_length_c 7.736
_cell_angle_alpha 90.00
_cell_angle_beta 90.00
_cell_angle_gamma 90.00
_symmetry_space_group_name_H-M 'F -4 3 m'
_symmetry_Int_Tables_number 216
_symmetry_space_group_name_Hall 'F -4 2 3'
loop_
_atom_site_label
_atom_site_fract_x
_atom_site_fract_y
_atom_site_fract_z
Sr1 0.000 0.000 0.000
Sr2 0.250 0.250 0.250
Al1 0.250 0.250 0.750
Si1 0.000 0.000 0.500
```